First-principles (PBEsol) data for BaTaAs2 after structural relaxation, as listed in Alexandria via LeMat-Bulk.

Calculated values
energy of formation from the pure elements = -0.216 eV per atom
SG = No. 99
crystal system = tetragonal
offset from the most stable computed form = 40.6 kJ per mole of atoms
total magnetization = 0.01 μB/cell

Unit cell a=3.722 b=3.722 c=7.713 alpha=90.00 beta=90.00 gamma=90.00
Fractional positions:
Ta: 0.500 0.500 0.929
Ba: 0.000 0.000 0.455
As: 0.500 0.500 0.237
As: 0.000 0.000 0.880


First-principles (PBEsol) data for AlCrIr after structural relaxation, as listed in Alexandria via LeMat-Bulk.

Calculated values
energy of formation from the pure elements = -0.383 eV per atom
SG = No. 107
crystal system = tetragonal
total magnetization = 0.16 μB/cell

Unit cell a=2.775 b=2.775 c=5.417 alpha=104.84 beta=104.84 gamma=90.00
Site moments in Bohr magnetons follow the coordinates.
Fractional positions:
Al: 0.002 0.002 0.003  0.00
Cr: 0.669 0.669 0.338  0.17
Ir: 0.329 0.329 0.658  -0.01


First-principles (PBEsol) data for Mg2CoIr after structural relaxation, as listed in Alexandria via LeMat-Bulk.

Calculated values
energy of formation from the pure elements = 0.011 eV per atom
SG = No. 139
crystal system = tetragonal
offset from the most stable computed form = 2.0 kJ per mole of atoms
total magnetization = 1.46 μB/cell

Unit cell a=3.875 b=3.875 c=4.711 alpha=114.29 beta=114.29 gamma=90.00
Site moments in Bohr magnetons follow the coordinates.
Fractional positions:
Mg: 0.750 0.250 0.500  -0.01
Mg: 0.250 0.750 0.500  -0.01
Ir: 0.000 0.000 0.000  0.21
Co: 0.500 0.500 0.000  1.30


First-principles (PBEsol) data for FeIr2 after structural relaxation, as listed in Alexandria via LeMat-Bulk.

Calculated values
energy of formation from the pure elements = -0.021 eV per atom
SG = No. 139
crystal system = tetragonal
total magnetization = 1.93 μB/cell

Unit cell a=2.676 b=2.676 c=5.774 alpha=103.40 beta=103.40 gamma=90.00
Site moments in Bohr magnetons follow the coordinates.
Fractional positions:
Ir: 0.161 0.161 0.321  -0.07
Ir: 0.839 0.839 0.679  -0.07
Fe: 0.500 0.500 0.000  2.06


First-principles (PBEsol) data for Li2AgF4 after structural relaxation, as listed in Alexandria via LeMat-Bulk.

Calculated values
SG = No. 65
crystal system = orthorhombic
offset from the most stable computed form = 2.3 kJ per mole of atoms
total magnetization = 2.08 μB/cell
formation energy from raw total energies = -14.83 eV per formula unit

Unit cell a=3.250 b=5.235 c=9.976 alpha=99.41 beta=90.00 gamma=90.00
Site moments in Bohr magnetons follow the coordinates.
Fractional positions:
Ag: 0.500 0.250 0.750  0.59
Ag: 0.500 0.750 0.250  0.59
Li: 0.000 0.731 0.577  0.00
Li: 0.000 0.769 0.923  0.00
Li: 0.000 0.269 0.423  0.00
Li: 0.000 0.231 0.077  0.00
F: 0.000 0.113 0.888  0.09
F: 0.500 0.108 0.369  0.12
F: 0.500 0.392 0.131  0.12
F: 0.000 0.887 0.112  0.09
F: 0.000 0.387 0.612  0.09
F: 0.500 0.892 0.631  0.12
F: 0.000 0.613 0.388  0.09
F: 0.500 0.608 0.869  0.12


First-principles (PBEsol) data for KMgZr2 after structural relaxation, as listed in Alexandria via LeMat-Bulk.

Calculated values
energy of formation from the pure elements = 0.469 eV per atom
SG = No. 166
crystal system = trigonal
total magnetization = 0.00 μB/cell

Unit cell a=3.083 b=3.083 c=12.478 alpha=82.90 beta=82.90 gamma=60.00
Fractional positions:
Mg: 0.500 0.500 0.500
Zr: 0.239 0.239 0.282
Zr: 0.761 0.761 0.718
K: 0.000 0.000 0.000


First-principles (PBEsol) data for CoPbBr after structural relaxation, as listed in Alexandria via LeMat-Bulk.

Calculated values
SG = No. 216
crystal system = cubic
total magnetization = 1.77 μB/cell
formation energy from raw total energies = 3.26 eV per formula unit

Unit cell a=4.765 b=4.765 c=4.765 alpha=60.00 beta=60.00 gamma=60.00
Site moments in Bohr magnetons follow the coordinates.
Fractional positions:
Br: 0.250 0.250 0.250  0.05
Pb: 0.500 0.500 0.500  -0.02
Co: 0.000 0.000 0.000  1.76


First-principles (PBEsol) data for NaSb2TeAu after structural relaxation, as listed in Alexandria via LeMat-Bulk.

Calculated values
SG = No. 123
crystal system = tetragonal
total magnetization = 0.00 μB/cell
formation energy from raw total energies = 1.23 eV per formula unit

Unit cell a=5.330 b=5.330 c=5.659 alpha=90.00 beta=90.00 gamma=90.00
Fractional positions:
Na: 0.500 0.500 0.500
Sb: 0.000 0.500 0.000
Sb: 0.500 0.000 0.000
Au: 0.000 0.000 0.000
Te: 0.000 0.000 0.500


First-principles (PBEsol) data for LiAgO2 after structural relaxation, as listed in Alexandria via LeMat-Bulk.

Calculated values
SG = No. 12
crystal system = monoclinic
total magnetization = 0.00 μB/cell
formation energy from raw total energies = -3.16 eV per formula unit

Unit cell a=2.932 b=3.247 c=5.243 alpha=80.75 beta=73.76 gamma=63.16
Fractional positions:
Ag: 0.500 0.000 0.000
O: 0.101 0.069 0.729
O: 0.899 0.931 0.271
Li: 0.500 0.500 0.500


First-principles (PBEsol) data for ReIr3 after structural relaxation, as listed in Alexandria via LeMat-Bulk.

Calculated values
energy of formation from the pure elements = -0.094 eV per atom
SG = No. 221
crystal system = cubic
offset from the most stable computed form = 4.5 kJ per mole of atoms
total magnetization = 0.00 μB/cell

Unit cell a=3.836 b=3.836 c=3.836 alpha=90.00 beta=90.00 gamma=90.00
Fractional positions:
Ir: 0.000 0.000 0.500
Ir: 0.500 0.000 0.000
Ir: 0.000 0.500 0.000
Re: 0.500 0.500 0.500


First-principles (PBEsol) data for TaReRhAu2 after structural relaxation, as listed in Alexandria via LeMat-Bulk.

Calculated values
energy of formation from the pure elements = 1.777 eV per atom
SG = No. 123
crystal system = tetragonal
total magnetization = 0.62 μB/cell

Unit cell a=4.645 b=4.883 c=4.883 alpha=90.00 beta=90.00 gamma=90.00
Site moments in Bohr magnetons follow the coordinates.
Fractional positions:
Re: 0.000 0.000 0.000  0.02
Rh: 0.500 0.500 0.500  0.62
Au: 0.000 0.000 0.500  0.02
Au: 0.000 0.500 0.000  0.02
Ta: 0.500 0.000 0.000  -0.03


First-principles (PBEsol) data for Zr2CdRu after structural relaxation, as listed in Alexandria via LeMat-Bulk.

Calculated values
energy of formation from the pure elements = 0.069 eV per atom
SG = No. 160
crystal system = trigonal
total magnetization = 0.00 μB/cell

Unit cell a=3.134 b=3.134 c=9.363 alpha=80.36 beta=80.36 gamma=60.00
Fractional positions:
Zr: 0.990 0.990 0.031
Zr: 0.749 0.749 0.754
Ru: 0.254 0.254 0.238
Cd: 0.508 0.508 0.477


First-principles (PBEsol) data for Ti2NbZnAs after structural relaxation, as listed in Alexandria via LeMat-Bulk.

Calculated values
energy of formation from the pure elements = 1.026 eV per atom
SG = No. 123
crystal system = tetragonal
total magnetization = 0.00 μB/cell

Unit cell a=4.647 b=4.647 c=4.881 alpha=90.00 beta=90.00 gamma=90.00
Fractional positions:
Ti: 0.500 0.000 0.000
Ti: 0.000 0.500 0.000
Zn: 0.000 0.000 0.500
Nb: 0.000 0.000 0.000
As: 0.500 0.500 0.500


First-principles (PBEsol) data for Ba2NiHgOs after structural relaxation, as listed in Alexandria via LeMat-Bulk.

Calculated values
energy of formation from the pure elements = 1.304 eV per atom
SG = No. 123
crystal system = tetragonal
total magnetization = 1.68 μB/cell

Unit cell a=4.946 b=6.190 c=6.190 alpha=90.00 beta=90.00 gamma=90.00
Site moments in Bohr magnetons follow the coordinates.
Fractional positions:
Ba: 0.000 0.000 0.500  -0.05
Ba: 0.000 0.500 0.000  -0.05
Os: 0.500 0.000 0.000  1.15
Hg: 0.000 0.000 0.000  0.00
Ni: 0.500 0.500 0.500  0.75


First-principles (PBEsol) data for BaTa2Ru after structural relaxation, as listed in Alexandria via LeMat-Bulk.

Calculated values
energy of formation from the pure elements = 0.373 eV per atom
SG = No. 99
crystal system = tetragonal
offset from the most stable computed form = 0.0 kJ per mole of atoms
total magnetization = 0.00 μB/cell

Unit cell a=3.153 b=3.153 c=8.652 alpha=90.00 beta=90.00 gamma=90.00
Fractional positions:
Ru: 0.500 0.500 0.818
Ta: 0.000 0.000 0.972
Ta: 0.500 0.500 0.184
Ba: 0.000 0.000 0.526


First-principles (PBEsol) data for CdInIr after structural relaxation, as listed in Alexandria via LeMat-Bulk.

Calculated values
energy of formation from the pure elements = -0.100 eV per atom
SG = No. 47
crystal system = orthorhombic
total magnetization = 0.00 μB/cell

Unit cell a=2.957 b=4.516 c=4.686 alpha=90.00 beta=90.00 gamma=90.00
Fractional positions:
Cd: 0.000 0.000 0.000
Ir: 0.500 0.000 0.500
In: 0.000 0.500 0.500


First-principles (PBEsol) data for K2CrIrSe after structural relaxation, as listed in Alexandria via LeMat-Bulk.

Calculated values
SG = No. 123
crystal system = tetragonal
total magnetization = 6.31 μB/cell
formation energy from raw total energies = 5.66 eV per formula unit

Unit cell a=4.525 b=6.242 c=6.242 alpha=90.00 beta=90.00 gamma=90.00
Site moments in Bohr magnetons follow the coordinates.
Fractional positions:
K: 0.000 0.000 0.500  0.02
K: 0.000 0.500 0.000  0.02
Se: 0.500 0.000 0.000  -0.07
Ir: 0.500 0.500 0.500  1.70
Cr: 0.000 0.000 0.000  3.78


First-principles (PBEsol) data for GdMgAu2 after structural relaxation, as listed in Alexandria via LeMat-Bulk.

Calculated values
energy of formation from the pure elements = -0.749 eV per atom
SG = No. 225
crystal system = cubic
total magnetization = 7.18 μB/cell

Unit cell a=4.866 b=4.866 c=4.866 alpha=60.00 beta=60.00 gamma=60.00
Site moments in Bohr magnetons follow the coordinates.
Fractional positions:
Au: 0.250 0.250 0.250  0.01
Au: 0.750 0.750 0.750  0.01
Gd: 0.000 0.000 0.000  6.97
Mg: 0.500 0.500 0.500  0.00


First-principles (PBEsol) data for Li2AlGa after structural relaxation, as listed in Alexandria via LeMat-Bulk.

Calculated values
energy of formation from the pure elements = -0.275 eV per atom
SG = No. 216
crystal system = cubic
total magnetization = 0.00 μB/cell

Unit cell a=4.385 b=4.385 c=4.385 alpha=60.00 beta=60.00 gamma=60.00
Fractional positions:
Al: 0.250 0.250 0.250
Li: 0.750 0.750 0.750
Li: 0.000 0.000 0.000
Ga: 0.500 0.500 0.500


First-principles (PBEsol) data for Be2AgCl after structural relaxation, as listed in Alexandria via LeMat-Bulk.

Calculated values
SG = No. 12
crystal system = monoclinic
offset from the most stable computed form = 33.6 kJ per mole of atoms
total magnetization = 0.00 μB/cell
formation energy from raw total energies = 1.81 eV per formula unit

Unit cell a=2.956 b=4.807 c=4.807 alpha=111.18 beta=103.11 gamma=103.11
Fractional positions:
Be: 0.000 0.000 0.500
Be: 0.000 0.500 0.000
Cl: 0.000 0.500 0.500
Ag: 0.000 0.000 0.000


First-principles (PBEsol) data for Cd2InSi after structural relaxation, as listed in Alexandria via LeMat-Bulk.

Calculated values
SG = No. 47
crystal system = orthorhombic
total magnetization = 0.00 μB/cell
formation energy from raw total energies = 1.04 eV per formula unit

Unit cell a=2.831 b=5.557 c=5.371 alpha=90.00 beta=90.00 gamma=90.00
Fractional positions:
Cd: 0.500 0.500 0.000
Cd: 0.000 0.000 0.000
Si: 0.000 0.500 0.500
In: 0.500 0.000 0.500


First-principles (PBEsol) data for Ga2HgTe4 after structural relaxation, as listed in Alexandria via LeMat-Bulk.

Calculated values
SG = No. 1
crystal system = triclinic
offset from the most stable computed form = 2.9 kJ per mole of atoms
total magnetization = 0.00 μB/cell
formation energy from raw total energies = -1.63 eV per formula unit

Unit cell a=7.377 b=8.516 c=14.088 alpha=89.83 beta=79.38 gamma=89.90
Fractional positions:
Ga: 0.508 0.749 0.004
Ga: 0.516 0.242 0.000
Ga: 0.755 0.768 0.247
Ga: 0.993 0.256 0.498
Ga: 0.760 0.009 0.752
Ga: 0.744 0.240 0.251
Ga: 0.496 0.497 0.507
Ga: 0.232 0.744 0.752
Te: 0.088 0.026 0.799
Te: 0.831 0.528 0.543
Te: 0.554 0.503 0.313
Te: 0.083 0.499 0.839
Te: 0.567 0.750 0.810
Te: 0.827 0.707 0.060
Te: 0.534 0.240 0.810
Te: 0.301 0.494 0.046
Te: 0.065 0.211 0.308
Te: 0.284 0.741 0.561
Te: 0.845 0.983 0.562
Te: 0.519 0.002 0.302
Te: 0.290 0.264 0.582
Te: 0.049 0.793 0.317
Te: 0.325 0.997 0.083
Te: 0.832 0.279 0.061
Hg: 0.190 0.512 0.250
Hg: 0.507 0.008 0.502
Hg: 0.804 0.468 0.740
Hg: 0.001 0.989 0.001


First-principles (PBEsol) data for MgSb2Ru after structural relaxation, as listed in Alexandria via LeMat-Bulk.

Calculated values
SG = No. 119
crystal system = tetragonal
total magnetization = 0.00 μB/cell
formation energy from raw total energies = 0.72 eV per formula unit

Unit cell a=4.111 b=4.111 c=5.436 alpha=112.22 beta=112.22 gamma=90.00
Fractional positions:
Mg: 0.500 0.500 0.000
Sb: 0.000 0.000 0.000
Sb: 0.750 0.250 0.500
Ru: 0.250 0.750 0.500


First-principles (PBEsol) data for Ba6Zn7F26 after structural relaxation, as listed in Alexandria via LeMat-Bulk.

Calculated values
SG = No. 12
crystal system = monoclinic
total magnetization = 0.00 μB/cell
formation energy from raw total energies = -118.88 eV per formula unit

Unit cell a=5.908 b=10.086 c=10.283 alpha=74.21 beta=73.30 gamma=72.97
Fractional positions:
F: 0.984 0.643 0.850
F: 0.275 0.864 0.087
F: 0.110 0.106 0.673
F: 0.911 0.601 0.578
F: 0.373 0.091 0.164
F: 0.147 0.627 0.079
F: 0.482 0.131 0.382
F: 0.016 0.357 0.150
F: 0.407 0.609 0.577
F: 0.717 0.350 0.678
F: 0.774 0.864 0.087
F: 0.725 0.136 0.913
F: 0.627 0.909 0.836
F: 0.523 0.643 0.850
F: 0.255 0.350 0.678
F: 0.089 0.399 0.422
F: 0.226 0.136 0.913
F: 0.745 0.650 0.322
F: 0.005 0.131 0.382
F: 0.283 0.650 0.322
F: 0.477 0.357 0.150
F: 0.593 0.391 0.423
F: 0.995 0.869 0.618
F: 0.853 0.373 0.921
F: 0.890 0.894 0.327
F: 0.518 0.869 0.618
Ba: 0.659 0.583 0.100
Ba: 0.146 0.861 0.846
Ba: 0.641 0.121 0.597
Ba: 0.359 0.879 0.403
Ba: 0.854 0.139 0.154
Ba: 0.341 0.417 0.900
Zn: 0.257 0.500 0.500
Zn: 0.018 0.747 0.218
Zn: 0.777 0.735 0.710
Zn: 0.743 0.500 0.500
Zn: 0.500 0.000 0.000
Zn: 0.223 0.265 0.290
Zn: 0.982 0.253 0.782


First-principles (PBEsol) data for CdGeI2O after structural relaxation, as listed in Alexandria via LeMat-Bulk.

Calculated values
SG = No. 123
crystal system = tetragonal
total magnetization = 0.00 μB/cell
formation energy from raw total energies = -1.42 eV per formula unit

Unit cell a=3.751 b=5.746 c=5.746 alpha=90.00 beta=90.00 gamma=90.00
Fractional positions:
Ge: 0.000 0.000 0.000
I: 0.000 0.500 0.000
I: 0.000 0.000 0.500
O: 0.500 0.000 0.000
Cd: 0.500 0.500 0.500


First-principles (PBEsol) data for MnBe2Fe after structural relaxation, as listed in Alexandria via LeMat-Bulk.

Calculated values
energy of formation from the pure elements = -0.155 eV per atom
SG = No. 216
crystal system = cubic
total magnetization = 0.00 μB/cell

Unit cell a=3.682 b=3.682 c=3.682 alpha=60.00 beta=60.00 gamma=60.00
Fractional positions:
Mn: 0.250 0.250 0.250
Be: 0.000 0.000 0.000
Be: 0.750 0.750 0.750
Fe: 0.500 0.500 0.500